# 1
Material: CaPSe2N
Method: DFT, PBE-GGA
State: optimized geometry

Lattice parameters (Å, degrees): 5.149 5.149 3.434 90.00 90.00 90.00
Sites, in units of the cell vectors:
Ca1 0.000 0.000 0.000
P1 0.500 0.500 0.500
Se1 0.000 0.500 0.500
Se2 0.500 0.000 0.500
N1 0.500 0.500 0.000

## Properties
- ρ (g/cm3) = 4.432
- energy above the lowest structure with this stoichiometry (eV/f.u.) = 0.00
- formation energy from raw total energies (eV/atom) = -0.23
- E (eV per cell) = -23.9
- total moment (μB/cell) = 0.00

# 2
Material: Li5TlPb6
Method: DFT, PBE-GGA
State: optimized geometry

Lattice parameters (Å, degrees): 4.743 8.989 7.343 90.00 108.25 90.00
Sites, in units of the cell vectors:
Li1 0.000 0.000 0.000
Li2 0.333 0.000 0.666
Li3 0.336 0.500 0.673
Li4 0.664 0.500 0.327
Li5 0.667 0.000 0.334
Tl1 0.000 0.500 0.000
Pb1 0.172 0.236 0.342
Pb2 0.172 0.764 0.342
Pb3 0.500 0.226 0.000
Pb4 0.500 0.774 0.000
Pb5 0.828 0.236 0.658
Pb6 0.828 0.764 0.658

## Properties
- ρ (g/cm3) = 8.279
- E (eV per cell) = -36.4
- total moment (μB/cell) = 0.00

# 3
Material: CeSmRuRh
Method: DFT, PBE-GGA
State: optimized geometry

Lattice parameters (Å, degrees): 3.443 3.443 7.101 90.00 90.00 90.00
Sites, in units of the cell vectors:
Ce1 0.000 0.000 0.000
Sm1 0.000 0.000 0.502
Ru1 0.500 0.500 0.771
Rh1 0.500 0.500 0.225

## Properties
- ρ (g/cm3) = 9.755
- energy above the lowest structure with this stoichiometry (eV/f.u.) = 0.00
- E (eV per cell) = -29.3
- total moment (μB/cell) = 0.00

# 4
Material: Li6HgPd5
Method: DFT, PBE-GGA
State: optimized geometry

Lattice parameters (Å, degrees): 4.935 4.935 8.627 95.54 95.54 120.45
Sites, in units of the cell vectors:
Li1 0.066 0.412 0.240
Li2 0.242 0.242 0.760
Li3 0.412 0.066 0.240
Li4 0.588 0.934 0.760
Li5 0.758 0.758 0.240
Li6 0.934 0.588 0.760
Hg1 0.500 0.500 0.500
Pd1 0.000 0.000 0.000
Pd2 0.167 0.833 0.500
Pd3 0.335 0.665 0.000
Pd4 0.665 0.335 0.000
Pd5 0.833 0.167 0.500

## Properties
- ρ (g/cm3) = 7.237
- energy above the lowest structure with this stoichiometry (eV/f.u.) = 0.32
- E (eV per cell) = -42.6
- total moment (μB/cell) = 0.00